(1)
This record from the Open Quantum Materials Database describes an optimized crystal structure of Zr3Sb4Pd4. The functional is PBE.

The space group is I-42m (No. 121) and the conventional cell measures 6.3599, 6.3599 and 12.5956 Å, with angles of 90.00, 90.00 and 90.00 degrees. The distinct sites, in fractional coordinates, are Zr at (0.0000, 0.0000, 0.0000), Zr at (0.0000, 0.5000, 0.2500), Sb at (0.0000, 0.0000, 0.2594), Sb at (0.0000, 0.5000, 0.0000) and Pd at (0.2420, 0.2420, 0.1280).

The calculation puts the offset from the most stable computed form at 0.00 eV/f.u.

***

(2)
This record from the Open Quantum Materials Database describes an optimized crystal structure of Y2TaO4. The functional is PBE.

The space group is Fd-3m (No. 227, origin choice 2) and the conventional cell measures 9.3398, 9.3398 and 9.3398 Å, with angles of 90.00, 90.00 and 90.00 degrees. The distinct sites, in fractional coordinates, are Y at (0.0000, 0.0000, 0.0000), Ta at (0.1250, 0.1250, 0.6250) and O at (0.0056, 0.0056, 0.7444).

***

(3)
This record from the Open Quantum Materials Database describes an optimized crystal structure of SmMgAgSe2S. The functional is PBE.

The space group is Cmcm (No. 63) and the conventional cell measures 3.9309, 13.0032 and 10.7980 Å, with angles of 90.00, 90.00 and 90.00 degrees. The distinct sites, in fractional coordinates, are Sm at (0.0000, 0.0000, 0.0000), Mg at (0.0000, 0.2462, 0.2500), Ag at (0.0000, 0.4853, 0.7500), Se at (0.0000, 0.3468, 0.5755) and S at (0.0000, 0.1130, 0.7500).

***

(4)
This record from the Open Quantum Materials Database describes an optimized crystal structure of Nb3AuN5. The functional is PBE.

The space group is P6/mmm (No. 191) and the conventional cell measures 5.4757, 5.4757 and 4.2957 Å, with angles of 90.00, 90.00 and 120.00 degrees. The distinct sites, in fractional coordinates, are Nb at (0.0000, 0.5000, 0.0000), Au at (0.0000, 0.0000, 0.5000), N at (0.0000, 0.0000, 0.0000) and N at (0.3333, 0.6667, 0.3452).

***

(5)
This record from the Open Quantum Materials Database describes an optimized crystal structure of ScTcPd. The functional is PBE.

The space group is F-43m (No. 216) and the conventional cell measures 6.1420, 6.1420 and 6.1420 Å, with angles of 90.00, 90.00 and 90.00 degrees. The distinct sites, in fractional coordinates, are Sc at (0.0000, 0.0000, 0.0000), Tc at (0.2500, 0.2500, 0.2500) and Pd at (0.2500, 0.2500, 0.7500).

The calculation puts the offset from the most stable computed form at 0.90 eV/f.u. The formation energy comes out at 0.56 eV per atom.

***

(6)
This record from the Open Quantum Materials Database describes an optimized crystal structure of ZrPaIn. The functional is PBE.

The space group is F-43m (No. 216) and the conventional cell measures 7.0092, 7.0092 and 7.0092 Å, with angles of 90.00, 90.00 and 90.00 degrees. The distinct sites, in fractional coordinates, are Zr at (0.0000, 0.0000, 0.0000), Pa at (0.0000, 0.0000, 0.5000) and In at (0.2500, 0.2500, 0.7500).

The calculation puts the offset from the most stable computed form at 0.00 eV/f.u.

***

Total DFT energy (no corrections)
In order: -6.46; -8.92; -4.46; -8.14; -6.72; -6.37
Unit: eV per atom